(1)
LiLaSb2, optimized geometry, DFT GGA-PBE; energy above the most stable polymorph in this dataset = 1.09 eV per formula unit; symmetry = Fm-3m; electronic total energy = -4.4088 eV per atom; E_form (uncorrected) = -637 meV per atom; calculated volume = 27.645 Å³/atom
1.0
0.0000 3.8096 3.8096
3.8096 0.0000 3.8096
3.8096 3.8096 0.0000
La Sb Li
1 2 1
direct
0.5000 0.5000 0.5000
0.7500 0.7500 0.7500
0.2500 0.2500 0.2500
0.0000 0.0000 0.0000

***

(2)
CrTeMo, optimized geometry, DFT GGA-PBE; energy above the most stable polymorph in this dataset = 0.91 eV per formula unit; symmetry = P3m1; electronic total energy = -7.3148 eV per atom; E_form (uncorrected) = 551 meV per atom; calculated volume = 16.508 Å³/atom
1.0
-1.1397 1.8909 -3.7213
-2.9665 -2.0756 2.3694
-0.6110 2.5882 1.5023
Te Cr Mo
1 1 1
direct
0.3333 0.6667 0.8120
0.0000 0.0000 0.8865
0.6667 0.3333 0.3015

***

(3)
LaRuBr2, optimized geometry, DFT GGA-PBE; energy above the most stable polymorph in this dataset = 2.54 eV per formula unit; symmetry = P4/mmm; electronic total energy = -4.5058 eV per atom; E_form (uncorrected) = -119 meV per atom; calculated volume = 23.818 Å³/atom
1.0
-1.8637 3.1772 -0.8833
-3.3033 -1.7794 0.5693
0.1093 1.8344 6.3678
Ru Br La
1 2 1
direct
0.5000 0.5000 0.7500
0.0000 0.0000 0.5009
0.0000 0.0000 0.9991
0.5000 0.5000 0.2500

***

(4)
LaTcPt2, optimized geometry, DFT GGA-PBE; energy above the most stable polymorph in this dataset = 0.00 eV per formula unit; E_form = -0.312 eV/atom; symmetry = P2/m; electronic total energy = -7.1558 eV per atom; calculated volume = 19.056 Å³/atom
1.0
3.8629 0.0000 0.0000
0.0000 2.8761 0.0273
0.0000 2.8251 6.8879
Pt Tc La
2 1 1
direct
0.0000 0.9480 0.0525
0.0000 0.5520 0.4475
0.5000 0.2500 0.2500
0.5000 0.7500 0.7500